(1)
Entry from Alexandria: a relaxed LaTi2SnTe crystal (PBE).

- Calculated total energy: -5.267 eV/atom
- Crystal system: tetragonal
- Raw formation energy: 1.5 eV/f.u.
- Space-group type: P4/mmm
- Calculated volume: 173.6 Å³/cell

abc: 5.2857 5.2857 6.2133
angles: 90.00 90.00 90.00
With the nearest neighbours (Å) after each atom.
Sites, in units of the cell vectors:
La (0.0000, 0.0000, 0.0000)  2 Sn 3.11
Ti (0.0000, 0.5000, 0.5000)  2 Sn 2.64
Ti (0.5000, 0.0000, 0.5000)  2 Sn 2.64
Sn (0.0000, 0.0000, 0.5000)  4 Ti 2.64
Te (0.5000, 0.5000, 0.0000)  4 La 3.74, 8 Ti 4.08

***

(2)
Entry from Alexandria: a relaxed In13Hg2 crystal (PBE).

- E_form: 0.200 eV per atom
- Calculated total energy: -2.214 eV/atom
- Crystal system: trigonal
- Space-group type: R-3m
- Calculated volume: 546.4 Å³/cell
- Excess energy over the best structure of this formula in the dataset: 1.08 eV per formula unit

abc: 8.7164 8.7164 8.7164
angles: 67.85 67.85 67.85
With the nearest neighbours (Å) after each atom.
Sites, in units of the cell vectors:
In (0.0000, 0.0000, 0.0000)  2 Hg 3.05
In (0.1709, 0.4869, 0.4869)  6 In 2.83-3.12
In (0.1949, 0.6960, 0.6960)  1 Hg 2.82, 5 In 3.04-3.12
In (0.3040, 0.3040, 0.8051)  1 Hg 2.82, 5 In 3.04-3.12
In (0.3040, 0.8051, 0.3040)  1 Hg 2.82, 5 In 3.04-3.12
In (0.4869, 0.1709, 0.4869)  6 In 2.83-3.12
In (0.4869, 0.4869, 0.1709)  6 In 2.83-3.12
In (0.5131, 0.5131, 0.8291)  6 In 2.83-3.12
In (0.5131, 0.8291, 0.5131)  6 In 2.83-3.12
In (0.6960, 0.1949, 0.6960)  1 Hg 2.82, 5 In 3.04-3.12
In (0.6960, 0.6960, 0.1949)  1 Hg 2.82, 5 In 3.04-3.12
In (0.8051, 0.3040, 0.3040)  1 Hg 2.82, 5 In 3.04-3.12
In (0.8291, 0.5131, 0.5131)  6 In 2.83-3.12
Hg (0.1527, 0.1527, 0.1527)  4 In 2.82-3.05
Hg (0.8473, 0.8473, 0.8473)  4 In 2.82-3.05

***

Number 1: Fermi-level density of states 1.37 states/eV/cell. Number 2: Fermi-level density of states 10.94 states/eV/cell.